No. 1
Entry from the Alexandria database: Y2Zn5Au3 after structural relaxation (PBE-GGA).

Summary:
E_form = -0.4910 eV per atom
Raw total energy = -136.161 eV/cell
Excess energy over the best structure of this formula in the dataset = 0 meV/atom
Mass density = 9.53 g cm⁻³

Structure (CIF):
```
data_Y2Zn5Au3
_symmetry_space_group_name_H-M 'C m c 21'
_symmetry_Int_Tables_number 36
_cell_length_a 4.489
_cell_length_b 24.815
_cell_length_c 6.859
_cell_angle_alpha 90.00
_cell_angle_beta 90.00
_cell_angle_gamma 90.00
loop_
_symmetry_equiv_pos_as_xyz
'x,y,z'
'-x,-y,z+1/2'
'-x,y,z'
'x,-y,z+1/2'
'x+1/2,y+1/2,z'
'-x+1/2,-y+1/2,z+1/2'
'-x+1/2,y+1/2,z'
'x+1/2,-y+1/2,z+1/2'
loop_
_atom_site_label
_atom_site_type_symbol
_atom_site_fract_x
_atom_site_fract_y
_atom_site_fract_z
Y1 Y 0.000 0.015 0.000
Y2 Y 0.000 0.325 0.963
Zn1 Zn 0.000 0.108 0.681
Zn2 Zn 0.000 0.204 0.137
Zn3 Zn 0.000 0.208 0.752
Zn4 Zn 0.000 0.376 0.508
Zn5 Zn 0.000 0.448 0.808
Au1 Au 0.000 0.107 0.274
Au2 Au 0.000 0.270 0.441
Au3 Au 0.000 0.447 0.213
```

No. 2
Entry from the Alexandria database: BiAu2I after structural relaxation (PBE-GGA).

Summary:
Raw total energy = -40.761 eV/cell
Excess energy over the best structure of this formula in the dataset = 313 meV/atom
Uncorrected formation energy = 1.80 eV per formula unit
Mass density = 12.06 g cm⁻³

Structure (CIF):
```
data_BiAu2I
_symmetry_space_group_name_H-M 'F m -3 m'
_symmetry_Int_Tables_number 225
_symmetry_space_group_name_Hall '-F 4 2 3'
_cell_length_a 7.381
_cell_length_b 7.381
_cell_length_c 7.381
_cell_angle_alpha 90.00
_cell_angle_beta 90.00
_cell_angle_gamma 90.00
loop_
_atom_site_label
_atom_site_type_symbol
_atom_site_fract_x
_atom_site_fract_y
_atom_site_fract_z
Bi1 Bi 0.000 0.000 0.000
Au1 Au 0.250 0.250 0.250
I1 I 0.000 0.000 0.500
```

No. 3
Entry from the Alexandria database: Pr12ErTl3 after structural relaxation (PBE-GGA).

Summary:
E_form = -0.1488 eV per atom
Raw total energy = -71.396 eV/cell
Mass density = 7.86 g cm⁻³

Structure (CIF):
```
data_Pr12ErTl3
_symmetry_space_group_name_H-M 'P 4/m m m'
_symmetry_Int_Tables_number 123
_symmetry_space_group_name_Hall '-P 4 2'
_cell_length_a 5.041
_cell_length_b 5.041
_cell_length_c 20.548
_cell_angle_alpha 90.00
_cell_angle_beta 90.00
_cell_angle_gamma 90.00
loop_
_atom_site_label
_atom_site_type_symbol
_atom_site_fract_x
_atom_site_fract_y
_atom_site_fract_z
Pr1 Pr 0.000 0.000 0.000
Pr2 Pr 0.000 0.000 0.246
Pr3 Pr 0.000 0.000 0.500
Pr4 Pr 0.000 0.500 0.123
Pr5 Pr 0.000 0.500 0.370
Er1 Er 0.500 0.500 0.500
Tl1 Tl 0.500 0.500 0.000
Tl2 Tl 0.500 0.500 0.244
```

No. 4
Entry from the Alexandria database: HfRe2Ru2 after structural relaxation (PBE-GGA).

Summary:
E_form = -0.0139 eV per atom
Raw total energy = -106.942 eV/cell
Excess energy over the best structure of this formula in the dataset = 5 meV/atom
Mass density = 15.54 g cm⁻³

Structure (CIF):
```
data_HfRe2Ru2
_symmetry_space_group_name_H-M 'P 4/m b m'
_symmetry_Int_Tables_number 127
_symmetry_space_group_name_Hall '-P 4 2ab'
_cell_length_a 7.588
_cell_length_b 7.588
_cell_length_c 2.796
_cell_angle_alpha 90.00
_cell_angle_beta 90.00
_cell_angle_gamma 90.00
loop_
_atom_site_label
_atom_site_type_symbol
_atom_site_fract_x
_atom_site_fract_y
_atom_site_fract_z
Hf1 Hf 0.000 0.000 0.000
Re1 Re 0.122 0.378 0.000
Ru1 Ru 0.173 0.673 0.500
```

No. 5
Entry from the Alexandria database: ZrRu2Br after structural relaxation (PBE-GGA).

Summary:
Raw total energy = -107.262 eV/cell
Excess energy over the best structure of this formula in the dataset = 503 meV/atom
Uncorrected formation energy = 1.96 eV per formula unit
Mass density = 8.99 g cm⁻³

Structure (CIF):
```
data_ZrRu2Br
_symmetry_space_group_name_H-M 'F m -3 m'
_symmetry_Int_Tables_number 225
_symmetry_space_group_name_Hall '-F 4 2 3'
_cell_length_a 6.510
_cell_length_b 6.510
_cell_length_c 6.510
_cell_angle_alpha 90.00
_cell_angle_beta 90.00
_cell_angle_gamma 90.00
loop_
_atom_site_label
_atom_site_type_symbol
_atom_site_fract_x
_atom_site_fract_y
_atom_site_fract_z
Zr1 Zr 0.000 0.000 0.000
Ru1 Ru 0.250 0.250 0.250
Br1 Br 0.000 0.000 0.500
```

No. 6
Entry from the Alexandria database: SrRePt2 after structural relaxation (PBE-GGA).

Summary:
E_form = 0.4795 eV per atom
Raw total energy = -48.587 eV/cell
Excess energy over the best structure of this formula in the dataset = 543 meV/atom
Mass density = 14.56 g cm⁻³

Structure (CIF):
```
data_SrRePt2
_symmetry_space_group_name_H-M 'I -4 m 2'
_symmetry_Int_Tables_number 119
_symmetry_space_group_name_Hall 'I -4 -2'
_cell_length_a 4.119
_cell_length_b 4.119
_cell_length_c 8.928
_cell_angle_alpha 90.00
_cell_angle_beta 90.00
_cell_angle_gamma 90.00
loop_
_atom_site_label
_atom_site_type_symbol
_atom_site_fract_x
_atom_site_fract_y
_atom_site_fract_z
Sr1 Sr 0.000 0.000 0.000
Re1 Re 0.000 0.500 0.250
Pt1 Pt 0.000 0.000 0.500
Pt2 Pt 0.000 0.500 0.750
```

No. 7
Entry from the Alexandria database: ReMo3 after structural relaxation (PBE-GGA).

Summary:
E_form = 0.2919 eV per atom
Raw total energy = -87.547 eV/cell
Mass density = 12.48 g cm⁻³

Structure (CIF):
```
data_ReMo3
_symmetry_space_group_name_H-M 'C m m m'
_symmetry_Int_Tables_number 65
_symmetry_space_group_name_Hall '-C 2 2'
_cell_length_a 5.571
_cell_length_b 8.130
_cell_length_c 2.785
_cell_angle_alpha 90.00
_cell_angle_beta 90.00
_cell_angle_gamma 90.00
loop_
_atom_site_label
_atom_site_type_symbol
_atom_site_fract_x
_atom_site_fract_y
_atom_site_fract_z
Re1 Re 0.000 0.000 0.000
Mo1 Mo 0.000 0.500 0.000
Mo2 Mo 0.250 0.250 0.500
```

No. 8
Entry from the Alexandria database: TaSiW after structural relaxation (PBE-GGA).

Summary:
Raw total energy = -61.167 eV/cell
Uncorrected formation energy = -0.35 eV per formula unit
Mass density = 13.79 g cm⁻³

Structure (CIF):
```
data_TaSiW
_symmetry_space_group_name_H-M 'I 4 m m'
_symmetry_Int_Tables_number 107
_symmetry_space_group_name_Hall 'I 4 -2'
_cell_length_a 3.320
_cell_length_b 3.320
_cell_length_c 8.586
_cell_angle_alpha 90.00
_cell_angle_beta 90.00
_cell_angle_gamma 90.00
loop_
_atom_site_label
_atom_site_type_symbol
_atom_site_fract_x
_atom_site_fract_y
_atom_site_fract_z
Ta1 Ta 0.000 0.000 0.000
Si1 Si 0.000 0.000 0.328
W1 W 0.000 0.000 0.674
```

No. 9
Entry from the Alexandria database: LiSnS2 after structural relaxation (PBE-GGA).

Summary:
Raw total energy = -51.084 eV/cell
Uncorrected formation energy = -2.86 eV per formula unit
Mass density = 3.99 g cm⁻³

Structure (CIF):
```
data_LiSnS2
_symmetry_space_group_name_H-M 'R -3 m'
_symmetry_Int_Tables_number 166
_symmetry_space_group_name_Hall '-R 3 2"'
_cell_length_a 3.8141
_cell_length_b 3.8141
_cell_length_c 18.8161
_cell_angle_alpha 90.00
_cell_angle_beta 90.00
_cell_angle_gamma 120.00
loop_
_atom_site_label
_atom_site_type_symbol
_atom_site_fract_x
_atom_site_fract_y
_atom_site_fract_z
Li1 Li 0.0000 0.0000 0.0000
Sn1 Sn 0.0000 0.0000 0.5000
S1 S 0.0000 0.0000 0.2528
```

No. 10
Entry from the Alexandria database: Cs4ErPa3S12 after structural relaxation (PBE-GGA).

Summary:
Raw total energy = -231.826 eV/cell
Uncorrected formation energy = -29.92 eV per formula unit
Mass density = 4.89 g cm⁻³

Structure (CIF):
```
data_Cs4ErPa3S12
_symmetry_space_group_name_H-M 'I m -3 m'
_symmetry_Int_Tables_number 229
_symmetry_space_group_name_Hall '-I 4 2 3'
_cell_length_a 10.644
_cell_length_b 10.644
_cell_length_c 10.644
_cell_angle_alpha 90.00
_cell_angle_beta 90.00
_cell_angle_gamma 90.00
loop_
_atom_site_label
_atom_site_type_symbol
_atom_site_fract_x
_atom_site_fract_y
_atom_site_fract_z
Cs1 Cs 0.250 0.250 0.250
Er1 Er 0.000 0.000 0.000
Pa1 Pa 0.000 0.000 0.500
S1 S 0.000 0.000 0.256
S2 S 0.000 0.250 0.500
```

No. 11
Entry from the Alexandria database: MnTe4Os after structural relaxation (PBE-GGA).

Summary:
Raw total energy = -95.079 eV/cell
Uncorrected formation energy = 9.20 eV per formula unit
Mass density = 7.60 g cm⁻³

Structure (CIF):
```
data_MnTe4Os
_symmetry_space_group_name_H-M 'F -4 3 m'
_symmetry_Int_Tables_number 216
_symmetry_space_group_name_Hall 'F -4 2 3'
_cell_length_a 8.707
_cell_length_b 8.707
_cell_length_c 8.707
_cell_angle_alpha 90.00
_cell_angle_beta 90.00
_cell_angle_gamma 90.00
loop_
_atom_site_label
_atom_site_type_symbol
_atom_site_fract_x
_atom_site_fract_y
_atom_site_fract_z
Mn1 Mn 0.000 0.000 0.000
Te1 Te 0.124 0.124 0.376
Os1 Os 0.250 0.250 0.750
```

No. 12
Entry from the Alexandria database: Cd6Hg8Pb after structural relaxation (PBE-GGA).

Summary:
E_form = 0.0515 eV per atom
Raw total energy = -32.522 eV/cell
Mass density = 10.48 g cm⁻³

Structure (CIF):
```
data_Cd6Hg8Pb
_symmetry_space_group_name_H-M 'R -3'
_symmetry_Int_Tables_number 148
_symmetry_space_group_name_Hall '-R 3'
_cell_length_a 7.6924
_cell_length_b 7.6924
_cell_length_c 23.0582
_cell_angle_alpha 90.00
_cell_angle_beta 90.00
_cell_angle_gamma 120.00
loop_
_atom_site_label
_atom_site_type_symbol
_atom_site_fract_x
_atom_site_fract_y
_atom_site_fract_z
Cd1 Cd 0.0080 0.2382 0.3801
Hg1 Hg 0.0000 0.0000 0.2599
Hg2 Hg 0.0160 0.7408 0.1305
Pb1 Pb 0.0000 0.0000 0.0000
```